Record 1
A plane-wave DFT calculation with PBE was carried out for crystalline Ce4Pd at its relaxed geometry.

Symmetry: Pm-3m
Formation energy: 0.171 eV per atom

a = 5.573 Å, b = 5.573 Å, c = 5.573 Å
α = 90.00°, β = 90.00°, γ = 90.00°
Each line ends with the local moment (μB).
Fractional coordinates of all 5 atoms:
1 Ce 0.000 0.000 0.000  1.27
2 Ce 0.500 0.000 0.500  0.95
3 Ce 0.000 0.500 0.500  0.95
4 Ce 0.500 0.500 0.000  0.95
5 Pd 0.500 0.500 0.500  0.03

***

Record 2
A plane-wave DFT calculation with PBE was carried out for crystalline Ce3Tl4SnSe8 at its relaxed geometry.

Symmetry: R-3m
Uncorrected formation energy: -1.13 eV per atom

a = 8.694 Å, b = 9.139 Å, c = 8.695 Å
α = 118.41°, β = 119.99°, γ = 90.00°
Each line ends with the local moment (μB).
Fractional coordinates of all 16 atoms:
1 Ce 0.500 0.500 0.000  0.70
2 Ce 0.500 0.500 0.500  0.70
3 Ce 0.000 0.500 0.500  0.70
4 Tl 0.500 0.000 0.000  0.00
5 Tl 0.500 0.000 0.500  0.00
6 Tl 0.000 0.000 0.000  0.00
7 Tl 0.000 0.000 0.500  0.00
8 Sn 0.000 0.500 0.000  0.00
9 Se 0.240 0.707 0.967  -0.02
10 Se 0.240 0.707 0.480  -0.02
11 Se 0.264 0.291 0.527  -0.02
12 Se 0.727 0.707 0.967  -0.02
13 Se 0.273 0.293 0.033  -0.02
14 Se 0.736 0.709 0.473  -0.02
15 Se 0.760 0.293 0.520  -0.02
16 Se 0.760 0.293 0.033  -0.02

***

Record 3
A plane-wave DFT calculation with PBE was carried out for crystalline Mg3CdAu12 at its relaxed geometry.

Symmetry: P4/mmm
Formation energy: -0.320 eV per atom

a = 4.201 Å, b = 4.201 Å, c = 16.335 Å
α = 90.00°, β = 90.00°, γ = 90.00°
Fractional coordinates of all 16 atoms:
1 Mg 0.000 0.000 0.252
2 Mg 0.000 0.000 0.500
3 Mg 0.000 0.000 0.748
4 Cd 0.000 0.000 0.000
5 Au 0.500 0.500 0.000
6 Au 0.500 0.500 0.253
7 Au 0.500 0.500 0.500
8 Au 0.500 0.500 0.747
9 Au 0.500 0.000 0.130
10 Au 0.500 0.000 0.376
11 Au 0.500 0.000 0.624
12 Au 0.500 0.000 0.870
13 Au 0.000 0.500 0.130
14 Au 0.000 0.500 0.376
15 Au 0.000 0.500 0.624
16 Au 0.000 0.500 0.870

***

Record 4
A plane-wave DFT calculation with PBE was carried out for crystalline LaTmInAg at its relaxed geometry.

Symmetry: P4mm
Formation energy: -0.401 eV per atom
E above lowest polymorph: 0.000 eV per atom

a = 3.672 Å, b = 3.672 Å, c = 7.953 Å
α = 90.00°, β = 90.00°, γ = 90.00°
Fractional coordinates of all 4 atoms:
1 La 0.000 0.000 0.851
2 Tm 0.000 0.000 0.376
3 In 0.500 0.500 0.129
4 Ag 0.500 0.500 0.572

***

Record 5
A plane-wave DFT calculation with PBE was carried out for crystalline AlSbSe2 at its relaxed geometry.

Symmetry: Pm
E above lowest polymorph: 0.199 eV per atom
Uncorrected formation energy: -0.29 eV per atom

a = 3.850 Å, b = 4.763 Å, c = 5.958 Å
α = 66.18°, β = 90.00°, γ = 90.00°
Fractional coordinates of all 4 atoms:
1 Sb 0.500 0.711 0.746
2 Al 0.000 0.575 0.412
3 Se 0.000 0.955 0.978
4 Se 0.500 0.259 0.364

***

Record 6
A plane-wave DFT calculation with PBE was carried out for crystalline EuPaAs2 at its relaxed geometry.

Symmetry: P4/mmm
Formation energy: -0.865 eV per atom
E above lowest polymorph: 0.332 eV per atom

a = 3.572 Å, b = 5.093 Å, c = 5.093 Å
α = 90.00°, β = 90.00°, γ = 90.00°
Each line ends with the local moment (μB).
Fractional coordinates of all 4 atoms:
1 Eu 0.500 0.000 0.000  6.76
2 As 0.000 0.000 0.500  -0.08
3 As 0.000 0.500 0.000  -0.08
4 Pa 0.500 0.500 0.500  0.85

***

Record 7
A plane-wave DFT calculation with PBE was carried out for crystalline TaNiP at its relaxed geometry.

Symmetry: F-43m
Formation energy: -0.034 eV per atom

a = 4.121 Å, b = 4.121 Å, c = 4.121 Å
α = 60.00°, β = 60.00°, γ = 60.00°
Fractional coordinates of all 3 atoms:
1 Ta 0.250 0.250 0.250
2 Ni 0.000 0.000 0.000
3 P 0.500 0.500 0.500

***

Record 8
A plane-wave DFT calculation with PBE was carried out for crystalline PmAgSbRu at its relaxed geometry.

Symmetry: F-43m
Uncorrected formation energy: -0.16 eV per atom

a = 4.887 Å, b = 4.887 Å, c = 4.887 Å
α = 60.00°, β = 60.00°, γ = 60.00°
Fractional coordinates of all 4 atoms:
1 Sb 0.500 0.500 0.500
2 Ru 0.750 0.750 0.750
3 Ag 0.250 0.250 0.250
4 Pm 0.000 0.000 0.000